1.
The following is a GGA-PBE calculation of an optimized crystal structure of SrH2Pt, from the Alexandria database.

The structure in extended XYZ format:
```
4
Lattice="4.352 0.000 0.000 2.176 3.769 0.000 2.176 1.256 4.085" Properties=species:S:1:pos:R:3 pbc="T T T"
Sr 4.352 2.513 2.043
Pt 0.000 0.000 0.000
H 2.176 1.256 2.427
H 6.528 3.769 1.658
```

Values from the calculation:
* space-group type: R-3m, No. 166
* crystal system: trigonal

=====

2.
The following is a GGA-PBE calculation of an optimized crystal structure of SrHPt2, from the Alexandria database.

The structure in extended XYZ format:
```
4
Lattice="0.000 3.317 3.317 3.317 0.000 3.317 3.317 3.317 0.000" Properties=species:S:1:pos:R:3 pbc="T T T"
Sr 3.317 3.317 3.317
Pt 1.659 1.659 1.659
Pt 4.976 4.976 4.976
H 0.000 0.000 0.000
```

Values from the calculation:
* space-group type: Fm-3m, No. 225
* crystal system: cubic

=====

3.
The following is a GGA-PBE calculation of an optimized crystal structure of Sr2HPt, from the Alexandria database.

The structure in extended XYZ format:
```
4
Lattice="0.000 3.635 3.635 3.635 0.000 3.635 3.635 3.635 0.000" Properties=species:S:1:pos:R:3 pbc="T T T"
Sr 1.817 1.817 1.817
Sr 5.452 5.452 5.452
Pt 3.635 3.635 3.635
H 0.000 0.000 0.000
```

Values from the calculation:
* space-group type: Fm-3m, No. 225
* crystal system: cubic

=====

4.
The following is a GGA-PBE calculation of an optimized crystal structure of Sr2HPt, from the Alexandria database.

The structure in extended XYZ format:
```
4
Lattice="4.139 0.000 0.000 2.070 3.585 0.000 2.070 1.195 7.329" Properties=species:S:1:pos:R:3 pbc="T T T"
Sr 2.070 1.195 5.549
Sr 2.070 1.195 1.747
H 4.139 2.390 3.709
Pt 6.209 3.585 7.319
```

Values from the calculation:
* space-group type: R3m, No. 160
* crystal system: trigonal

=====

Number 1: electronic total energy -16.82 eV for the cell shown. Number 2: electronic total energy -15.07 eV for the cell shown. Number 3: electronic total energy -14.45 eV for the cell shown. Number 4: electronic total energy -14.60 eV for the cell shown.